# 1
Entry from Alexandria via LeMat-Bulk: a relaxed structure of Tc2Hg (PBE-GGA).

Unit cell a=4.6019 b=4.6019 c=5.4388 alpha=90.00 beta=90.00 gamma=120.00
Space group P6_3/mmc (No. 194)
Symmetry-distinct sites (fractional):
Tc: 0.0000 0.0000 0.0000 (multiplicity 2)
Tc: 0.3333 0.6667 0.2500 (multiplicity 2)
Hg: 0.3333 0.6667 0.7500 (multiplicity 2)

---

# 2
Entry from Alexandria via LeMat-Bulk: a relaxed structure of TcHg2 (PBE-GGA).

Unit cell a=4.9248 b=4.9248 c=2.8217 alpha=90.00 beta=90.00 gamma=90.00
Space group P4/mmm (No. 123)
Symmetry-distinct sites (fractional):
Tc: 0.0000 0.0000 0.0000 (multiplicity 1)
Hg: 0.0000 0.5000 0.5000 (multiplicity 2)

---

# 3
Entry from Alexandria via LeMat-Bulk: a relaxed structure of Tc2Hg (PBE-GGA).

Unit cell a=6.2908 b=6.2908 c=5.4679 alpha=90.00 beta=90.00 gamma=90.00
Space group I4/mcm (No. 140)
Symmetry-distinct sites (fractional):
Tc: 0.1215 0.3785 0.0000 (multiplicity 8)
Hg: 0.0000 0.0000 0.2500 (multiplicity 4)

---

# 4
Entry from Alexandria via LeMat-Bulk: a relaxed structure of Tc3Hg5 (PBE-GGA).

Unit cell a=8.1616 b=8.1616 c=5.3418 alpha=90.00 beta=90.00 gamma=120.00
Space group P6_3/mcm (No. 193)
Symmetry-distinct sites (fractional):
Tc: 0.0000 0.4137 0.2500 (multiplicity 6)
Hg: 0.0000 0.2293 0.7500 (multiplicity 6)
Hg: 0.3333 0.6667 0.0000 (multiplicity 4)

---

# 5
Entry from Alexandria via LeMat-Bulk: a relaxed structure of TcHg2 (PBE-GGA).

Unit cell a=8.3162 b=8.3162 c=2.9138 alpha=90.00 beta=90.00 gamma=120.00
Space group P-62m (No. 189)
Symmetry-distinct sites (fractional):
Tc: 0.0000 0.0000 0.0000 (multiplicity 1)
Tc: 0.3333 0.6667 0.5000 (multiplicity 2)
Hg: 0.0000 0.2905 0.5000 (multiplicity 3)
Hg: 0.0000 0.6165 0.0000 (multiplicity 3)

---

# 6
Entry from Alexandria via LeMat-Bulk: a relaxed structure of Tc2Hg (PBE-GGA).

Unit cell a=6.7481 b=6.7481 c=4.2987 alpha=90.00 beta=90.00 gamma=120.00
Space group P-62m (No. 189)
Symmetry-distinct sites (fractional):
Tc: 0.0000 0.2317 0.0000 (multiplicity 3)
Tc: 0.0000 0.4430 0.5000 (multiplicity 3)
Hg: 0.0000 0.0000 0.5000 (multiplicity 1)
Hg: 0.3333 0.6667 0.0000 (multiplicity 2)

---

| no. | distance to the lowest polymorph of the same formula (kcal/mol of atoms) |
| --- | --- |
| 1 | 14.20 |
| 2 | 5.54 |
| 3 | 12.60 |
| 4 | 2.92 |
| 5 | 11.63 |
| 6 | 19.02 |